VASP calculation (GGA-PBE) on a relaxed structure of Pm3TlZn2.

abc: 3.674 3.674 11.598
angles: 90.00 90.00 90.00
Space group P4/mmm (No. 123)
Asymmetric unit:
Pm1 0.000 0.000 0.000 x1
Pm2 0.000 0.000 0.312 x2
Tl1 0.500 0.500 0.500 x1
Zn1 0.500 0.500 0.153 x2

- Mass density: 8.17 g cm⁻³
- DFT formation energy: -0.3379 eV/atom
- DFT total energy: -3.5322 eV/atom

---

VASP calculation (GGA-PBE) on a relaxed structure of Pm4TlZn.

abc: 3.706 3.706 13.010
angles: 90.00 90.00 90.00
Space group P4/mmm (No. 123)
Asymmetric unit:
Pm1 0.000 0.000 0.139 x2
Pm2 0.500 0.500 0.336 x2
Tl1 0.000 0.000 0.500 x1
Zn1 0.500 0.500 0.000 x1

- Mass density: 7.90 g cm⁻³
- DFT formation energy: -0.2061 eV/atom
- Energy above the lowest structure with this stoichiometry: 0.0 meV/atom
- DFT total energy: -3.9799 eV/atom

---

VASP calculation (GGA-PBE) on a relaxed structure of PmTl2Zn.

abc: 4.670 4.670 4.629
angles: 90.00 90.00 90.00
Space group P4/mmm (No. 123)
Asymmetric unit:
Pm1 0.000 0.000 0.000 x1
Tl1 0.000 0.500 0.500 x2
Zn1 0.500 0.500 0.000 x1

- Mass density: 10.19 g cm⁻³
- DFT formation energy: -0.2391 eV/atom
- DFT total energy: -2.9284 eV/atom

---

Which value of mass density does entry 2 give? 7.90 g cm⁻³

---

Which value of DFT formation energy does entry 3 give? -0.2391 eV/atom

---

Which formula does entry 2 have? Pm4TlZn

---

What is the formula in the first record? Pm3TlZn2